No. 1
Below is crystalline CaTb3Pd6 at its relaxed geometry, with properties calculated at the PBE level.

Structure (CIF):
```
data_CaTb3Pd6
_cell_length_a 8.1656
_cell_length_b 4.6045
_cell_length_c 11.4844
_cell_angle_alpha 90.00
_cell_angle_beta 102.81
_cell_angle_gamma 90.00
_space_group_name_H-M_alt 'P 1 21/m 1'
_space_group_IT_number 11
_space_group_name_Hall '-P 2yb'
loop_
_atom_site_label
_atom_site_fract_x
_atom_site_fract_y
_atom_site_fract_z
Ca1 0.0954 0.2500 0.4113
Tb1 0.1868 0.2500 0.9942
Tb2 0.3663 0.7500 0.8175
Tb3 0.4797 0.7500 0.3752
Pd1 0.0408 0.7500 0.8431
Pd2 0.1436 0.7500 0.1811
Pd3 0.1631 0.2500 0.7145
Pd4 0.2886 0.7500 0.5654
Pd5 0.3284 0.2500 0.2466
Pd6 0.4362 0.7500 0.0812
```

## Properties
Magnetization, μB per atom: 0.000
Volume, Å³/atom: 21.05
Calculated formation energy, eV per atom: -0.8004
Crystal system: monoclinic

---

No. 2
Below is crystalline Ca5TbPd6 at its relaxed geometry, with properties calculated at the PBE level.

Structure (CIF):
```
data_Ca5TbPd6
_cell_length_a 4.9759
_cell_length_b 14.9244
_cell_length_c 7.1236
_cell_angle_alpha 90.00
_cell_angle_beta 90.00
_cell_angle_gamma 90.00
_space_group_name_H-M_alt 'C m m m'
_space_group_IT_number 65
_space_group_name_Hall '-C 2 2'
loop_
_atom_site_label
_atom_site_fract_x
_atom_site_fract_y
_atom_site_fract_z
Ca1 0.0000 0.0000 0.0000
Ca2 0.0000 0.3295 0.5000
Ca3 0.0000 0.3337 0.0000
Tb1 0.0000 0.0000 0.5000
Pd1 0.0000 0.1604 0.2545
Pd2 0.0000 0.5000 0.2668
```

## Properties
Magnetization, μB per atom: 0.000
Volume, Å³/atom: 22.04
Calculated formation energy, eV per atom: -0.7221
Crystal system: orthorhombic

---

No. 3
Below is crystalline CaTb4Pd4 at its relaxed geometry, with properties calculated at the PBE level.

Structure (CIF):
```
data_CaTb4Pd4
_cell_length_a 9.1622
_cell_length_b 9.1622
_cell_length_c 5.7241
_cell_angle_alpha 90.00
_cell_angle_beta 90.00
_cell_angle_gamma 90.00
_space_group_name_H-M_alt 'P 42/n'
_space_group_IT_number 86
loop_
_space_group_symop_operation_xyz
'x,y,z'
'-x,-y,-z'
'-y,x+1/2,z+1/2'
'y,-x+1/2,-z+1/2'
'-x+1/2,-y+1/2,z'
'x+1/2,y+1/2,-z'
'y+1/2,-x,z+1/2'
'-y+1/2,x,-z+1/2'
loop_
_atom_site_label
_atom_site_fract_x
_atom_site_fract_y
_atom_site_fract_z
Ca1 0.2500 0.2500 0.2500
Tb1 0.0780 0.6537 0.1644
Pd1 0.0410 0.6216 0.6631
```

## Properties
Magnetization, μB per atom: 0.000
Volume, Å³/atom: 26.70
Calculated formation energy, eV per atom: -0.6630
Crystal system: tetragonal

---

No. 4
Below is crystalline CaTb2Pd at its relaxed geometry, with properties calculated at the PBE level.

Structure (CIF):
```
data_CaTb2Pd
_cell_length_a 3.9922
_cell_length_b 12.2944
_cell_length_c 9.3852
_cell_angle_alpha 90.00
_cell_angle_beta 90.00
_cell_angle_gamma 90.00
_space_group_name_H-M_alt 'C m c m'
_space_group_IT_number 63
_space_group_name_Hall '-C 2c 2'
loop_
_atom_site_label
_atom_site_fract_x
_atom_site_fract_y
_atom_site_fract_z
Ca1 0.0000 0.0653 0.2500
Tb1 0.0000 0.3570 0.0600
Pd1 0.0000 0.2326 0.7500
```

## Properties
Magnetization, μB per atom: 0.001
Volume, Å³/atom: 28.79
Calculated formation energy, eV per atom: -0.4047
Crystal system: orthorhombic

---

No. 5
Below is crystalline CaTb2Pd2 at its relaxed geometry, with properties calculated at the PBE level.

Structure (CIF):
```
data_CaTb2Pd2
_cell_length_a 7.9861
_cell_length_b 7.9861
_cell_length_c 3.8655
_cell_angle_alpha 90.00
_cell_angle_beta 90.00
_cell_angle_gamma 90.00
_space_group_name_H-M_alt 'P 4/m b m'
_space_group_IT_number 127
_space_group_name_Hall '-P 4 2ab'
loop_
_atom_site_label
_atom_site_fract_x
_atom_site_fract_y
_atom_site_fract_z
Ca1 0.0000 0.0000 0.0000
Tb1 0.1595 0.3405 0.5000
Pd1 0.1322 0.6322 0.0000
```

## Properties
Magnetization, μB per atom: 0.000
Volume, Å³/atom: 24.65
Calculated formation energy, eV per atom: -0.6962
Crystal system: tetragonal

---

No. 6
Below is crystalline CaTbPd4 at its relaxed geometry, with properties calculated at the PBE level.

Structure (CIF):
```
data_CaTbPd4
_cell_length_a 9.7604
_cell_length_b 3.7252
_cell_length_c 6.8840
_cell_angle_alpha 90.00
_cell_angle_beta 111.20
_cell_angle_gamma 90.00
_space_group_name_H-M_alt 'C 1 2/m 1'
_space_group_IT_number 12
_space_group_name_Hall '-C 2y'
loop_
_atom_site_label
_atom_site_fract_x
_atom_site_fract_y
_atom_site_fract_z
Ca1 0.0000 0.0000 0.0000
Tb1 0.0000 0.0000 0.5000
Pd1 0.1687 0.5000 0.3456
Pd2 0.1721 0.5000 0.8243
```

## Properties
Magnetization, μB per atom: 0.000
Volume, Å³/atom: 19.45
Calculated formation energy, eV per atom: -0.6091
Crystal system: monoclinic

---

No. 7
Below is crystalline CaTb2Pd9 at its relaxed geometry, with properties calculated at the PBE level.

Structure (CIF):
```
data_CaTb2Pd9
_cell_length_a 4.1397
_cell_length_b 4.1397
_cell_length_c 12.3527
_cell_angle_alpha 90.00
_cell_angle_beta 90.00
_cell_angle_gamma 90.00
_space_group_name_H-M_alt 'P 4/m m m'
_space_group_IT_number 123
_space_group_name_Hall '-P 4 2'
loop_
_atom_site_label
_atom_site_fract_x
_atom_site_fract_y
_atom_site_fract_z
Ca1 0.0000 0.0000 0.0000
Tb1 0.0000 0.0000 0.3328
Pd1 0.0000 0.5000 0.1689
Pd2 0.0000 0.5000 0.5000
Pd3 0.5000 0.5000 0.0000
Pd4 0.5000 0.5000 0.3341
```

## Properties
Magnetization, μB per atom: 0.000
Volume, Å³/atom: 17.64
Calculated formation energy, eV per atom: -0.7428
Crystal system: tetragonal

---

No. 8
Below is crystalline CaTb2Pd at its relaxed geometry, with properties calculated at the PBE level.

Structure (CIF):
```
data_CaTb2Pd
_cell_length_a 4.0976
_cell_length_b 4.0976
_cell_length_c 27.5776
_cell_angle_alpha 90.00
_cell_angle_beta 90.00
_cell_angle_gamma 120.00
_space_group_name_H-M_alt 'R 3 m'
_space_group_IT_number 160
_space_group_name_Hall 'R 3 -2"'
loop_
_atom_site_label
_atom_site_fract_x
_atom_site_fract_y
_atom_site_fract_z
Ca1 0.0000 0.0000 0.0000
Tb1 0.0000 0.0000 0.5537
Tb2 0.0000 0.0000 0.7769
Pd1 0.0000 0.0000 0.1650
```

## Properties
Magnetization, μB per atom: 0.000
Volume, Å³/atom: 33.42
Calculated formation energy, eV per atom: -0.3006
Crystal system: trigonal

---

Question: Among the records above, which one has the lowest calculated formation energy?
Answer: CaTb3Pd6